Below is NiGe after structural relaxation, with properties calculated at the PBE level.

Computed properties:
- calculated total energy (eV/atom) = -5.29

a = 6.566 Å, b = 6.566 Å, c = 4.752 Å
α = 90.00°, β = 90.00°, γ = 120.00°
Atoms (fractional coordinates):
Ni: 0.101 0.658 0.250
Ni: 0.342 0.443 0.250
Ni: 0.443 0.101 0.750
Ni: 0.557 0.899 0.250
Ni: 0.658 0.557 0.750
Ni: 0.899 0.342 0.750
Ge: 0.079 0.758 0.750
Ge: 0.242 0.321 0.750
Ge: 0.321 0.079 0.250
Ge: 0.679 0.921 0.750
Ge: 0.758 0.679 0.250
Ge: 0.921 0.242 0.250